1.
Material: RbCuPdSe3
Method: DFT, PBE
State: relaxed

Values from the calculation:
Offset from the most stable computed form in meV per atom: 6
Total DFT energy (no corrections) in eV/atom: -3.83

a b c (Å): 10.4887 3.9460 14.1346
angles (deg): 90.00 90.00 90.00
Last column: nearest neighbours and their distance in Å.
Space group Pnma (No. 62)
Unique sites:
Rb (0.2451, 0.2500, 0.0021) (multiplicity 4)  8 Se 3.42-3.61, 2 Cu 3.51
Cu (0.2431, 0.2500, 0.2968) (multiplicity 4)  4 Se 2.40-2.41
Pd (0.0056, 0.2500, 0.7455) (multiplicity 4)  6 Se 2.57-2.73
Se (0.0337, 0.2500, 0.3670) (multiplicity 4)  1 Cu 2.41, 2 Pd 2.57
Se (0.0426, 0.7500, 0.8583) (multiplicity 4)  1 Cu 2.41, 2 Pd 2.57
Se (0.2440, 0.7500, 0.2001) (multiplicity 4)  2 Cu 2.40

=====

2.
Material: RbTbHgSe3
Method: DFT, PBE
State: relaxed

Values from the calculation:
Total DFT energy (no corrections) in eV/atom: -3.85

a b c (Å): 18.5179 4.2363 9.3620
angles (deg): 90.00 102.30 90.00
Last column: nearest neighbours and their distance in Å.
Space group C2/m (No. 12)
Unique sites:
Rb (0.1444, 0.0000, 0.0693) (multiplicity 4)  7 Se 3.36-3.52
Tb (0.1712, 0.0000, 0.5763) (multiplicity 4)  6 Se 2.85-3.10
Hg (0.0172, 0.5000, 0.7224) (multiplicity 4)  4 Se 2.68-2.94
Se (0.0000, 0.0000, 0.5000) (multiplicity 2)  4 Hg 2.94, 2 Tb 3.10
Se (0.0000, 0.5000, 0.0000) (multiplicity 2)  2 Hg 2.68
Se (0.1686, 0.5000, 0.7829) (multiplicity 4)  1 Hg 2.74, 2 Tb 2.88
Se (0.1712, 0.5000, 0.3690) (multiplicity 4)  3 Tb 2.85-2.87

=====

3.
Material: InAgTe3Os
Method: DFT, PBE
State: relaxed

Values from the calculation:
Total DFT energy (no corrections) in eV/atom: -4.30

a b c (Å): 3.9979 16.1344 10.4349
angles (deg): 90.00 90.00 90.00
Last column: nearest neighbours and their distance in Å.
Space group Cmcm (No. 63)
Unique sites:
In (0.0000, 0.1814, 0.2500) (multiplicity 4)  2 Ag 2.85, 4 Te 3.02-3.08
Ag (0.0000, 0.1923, 0.7500) (multiplicity 4)  2 Te 2.71, 2 In 2.85
Te (0.0000, 0.1097, 0.5240) (multiplicity 8)  2 Os 2.68, 1 Ag 2.71
Te (0.0000, 0.4586, 0.7500) (multiplicity 4)  2 Os 2.69, 2 In 3.02
Os (0.0000, 0.5000, 0.0000) (multiplicity 4)  6 Te 2.68-2.69

=====

4.
Material: Hf2ZrNi3As4Pd
Method: DFT, PBE
State: relaxed

Values from the calculation:
Offset from the most stable computed form in meV per atom: 4
Total DFT energy (no corrections) in eV/atom: -7.04

a b c (Å): 6.4810 3.8459 7.3296
angles (deg): 90.00 90.88 90.00
Last column: nearest neighbours and their distance in Å.
Space group Pm (No. 6)
Unique sites:
Hf (0.0000, 0.0000, 0.0000) (multiplicity 1)  5 As 2.61-2.78, 1 Ni 2.90
Hf (0.4451, 0.5000, 0.5187) (multiplicity 1)  5 As 2.74-2.80, 5 Ni 2.77-3.00
Zr (0.5083, 0.0000, 0.1400) (multiplicity 1)  5 As 2.73-2.87, 3 Ni 2.78-2.90, 2 Pd 2.98
Ni (0.1241, 0.0000, 0.3814) (multiplicity 1)  4 As 2.38-2.59
Ni (0.3381, 0.5000, 0.8832) (multiplicity 1)  4 As 2.45-2.49, 2 Ni 2.66
Ni (0.5888, 0.0000, 0.7686) (multiplicity 1)  4 As 2.37-2.51
As (0.2085, 0.0000, 0.6988) (multiplicity 1)  4 Ni 2.38-2.51, 1 Hf 2.61
As (0.2180, 0.5000, 0.1989) (multiplicity 1)  3 Ni 2.43-2.45, 1 Pd 2.58
As (0.7197, 0.5000, 0.9198) (multiplicity 1)  3 Ni 2.37-2.48, 1 Pd 2.65
As (0.7408, 0.0000, 0.4740) (multiplicity 1)  2 Ni 2.39-2.59, 2 Pd 2.51
Pd (0.8296, 0.5000, 0.2692) (multiplicity 1)  4 As 2.51-2.65

=====

5.
Material: HoCuOs
Method: DFT, PBE
State: relaxed

Values from the calculation:
Formation energy from the elements in meV/atom: 1007
Offset from the most stable computed form in meV per atom: 449
Total DFT energy (no corrections) in eV/atom: -5.50

a b c (Å): 6.3252 6.3252 6.3252
angles (deg): 90.00 90.00 90.00
Last column: nearest neighbours and their distance in Å.
Space group F-43m (No. 216)
Unique sites:
Ho (0.0000, 0.0000, 0.0000) (multiplicity 4)  4 Os 2.74, 4 Cu 2.74
Cu (0.2500, 0.2500, 0.7500) (multiplicity 4)  4 Ho 2.74
Os (0.2500, 0.2500, 0.2500) (multiplicity 4)  4 Ho 2.74

=====

6.
Material: Ba3Ho2Cu2PtC10
Method: DFT, PBE
State: relaxed

Values from the calculation:
Total DFT energy (no corrections) in eV/atom: -6.32

a b c (Å): 14.3750 5.5218 8.6772
angles (deg): 90.00 109.66 90.00
Last column: nearest neighbours and their distance in Å.
Space group C2/m (No. 12)
Unique sites:
Ba (0.0000, 0.0000, 0.0000) (multiplicity 2)  4 C 3.02
Ba (0.1422, 0.0000, 0.4906) (multiplicity 4)  3 C 2.79-2.95, 1 Cu 3.03
Ho (0.1953, 0.5000, 0.8217) (multiplicity 4)  5 C 2.33-2.56
Cu (0.1411, 0.5000, 0.3006) (multiplicity 4)  5 C 2.00-2.22
Pt (0.0000, 0.5000, 0.5000) (multiplicity 2)  6 C 2.19-2.29
C (0.0145, 0.3817, 0.7599) (multiplicity 8)  1 C 1.31
C (0.1589, 0.5000, 0.5388) (multiplicity 4)  1 Cu 2.00, 1 Pt 2.19
C (0.2108, 0.3828, 0.1331) (multiplicity 8)  1 C 1.29

=====

7.
Material: KHoHgSe3
Method: DFT, PBE
State: relaxed

Values from the calculation:
Total DFT energy (no corrections) in eV/atom: -3.87

a b c (Å): 18.4170 4.1775 9.2763
angles (deg): 90.00 102.79 90.00
Last column: nearest neighbours and their distance in Å.
Space group C2/m (No. 12)
Unique sites:
K (0.1415, 0.0000, 0.0699) (multiplicity 4)  7 Se 3.29-3.47
Ho (0.1738, 0.0000, 0.5812) (multiplicity 4)  6 Se 2.82-3.12
Hg (0.0188, 0.5000, 0.7230) (multiplicity 4)  4 Se 2.67-2.91
Se (0.0000, 0.0000, 0.5000) (multiplicity 2)  4 Hg 2.91, 2 Ho 3.12
Se (0.0000, 0.5000, 0.0000) (multiplicity 2)  2 Hg 2.67
Se (0.1697, 0.5000, 0.3698) (multiplicity 4)  3 Ho 2.82-2.86
Se (0.1719, 0.5000, 0.7902) (multiplicity 4)  1 Hg 2.75, 2 Ho 2.86

=====

8.
Material: Ag3SbSe3
Method: DFT, PBE
State: relaxed

Values from the calculation:
Offset from the most stable computed form in meV per atom: 14
Total DFT energy (no corrections) in eV/atom: -3.43

a b c (Å): 11.5808 11.5808 8.8589
angles (deg): 90.00 90.00 120.00
Last column: nearest neighbours and their distance in Å.
Space group R3c (No. 161, hexagonal axes)
Unique sites:
Ag (0.0262, 0.4139, 0.0000) (multiplicity 18)  2 Se 2.57-2.59
Sb (0.0000, 0.0000, 0.1289) (multiplicity 6)  3 Se 2.65
Se (0.2071, 0.4434, 0.6376) (multiplicity 18)  2 Ag 2.57-2.59, 1 Sb 2.65

=====

9.
Material: YHfNO
Method: DFT, PBE
State: relaxed

Values from the calculation:
Offset from the most stable computed form in meV per atom: 276
Total DFT energy (no corrections) in eV/atom: -9.28

a b c (Å): 4.4391 4.4391 6.0322
angles (deg): 90.00 90.00 90.00
Last column: nearest neighbours and their distance in Å.
Space group P4/nmm (No. 129, origin choice 2)
Unique sites:
Y (0.2500, 0.7500, 0.0000) (multiplicity 2)  4 N 2.35
Hf (0.2500, 0.2500, 0.4584) (multiplicity 2)  1 N 1.99
N (0.2500, 0.2500, 0.1286) (multiplicity 2)  1 Hf 1.99
O (0.2500, 0.7500, 0.5000) (multiplicity 2)  4 Hf 2.23

=====

10.
Material: PrHfCu2Pb2
Method: DFT, PBE
State: relaxed

Values from the calculation:
Total DFT energy (no corrections) in eV/atom: -5.15

a b c (Å): 4.5926 4.5926 7.3545
angles (deg): 90.00 90.00 120.00
Last column: nearest neighbours and their distance in Å.
Space group P-3m1 (No. 164)
Unique sites:
Pr (0.0000, 0.0000, 0.0000) (multiplicity 1)  6 Pb 3.26
Hf (0.0000, 0.0000, 0.5000) (multiplicity 1)  6 Cu 2.89, 6 Pb 3.19
Cu (0.3333, 0.6667, 0.3438) (multiplicity 2)  4 Pb 2.73-2.93, 3 Hf 2.89
Pb (0.3333, 0.6667, 0.7417) (multiplicity 2)  4 Cu 2.73-2.93

=====

11.
Material: Tb2HoIn3AgPt2
Method: DFT, PBE
State: relaxed

Values from the calculation:
Total DFT energy (no corrections) in eV/atom: -4.94

a b c (Å): 3.7769 13.5439 7.8347
angles (deg): 90.00 90.00 90.00
Last column: nearest neighbours and their distance in Å.
Space group Amm2 (No. 38)
Unique sites:
Tb (0.0000, 0.2046, 0.0000) (multiplicity 4)  4 Pt 3.03, 6 In 3.15-3.40, 1 Ag 3.20
Ho (0.0000, 0.0000, 0.3860) (multiplicity 2)  4 Pt 3.02, 2 In 3.15, 1 Ag 3.20
In (0.5000, 0.0000, 0.0647) (multiplicity 2)  2 Ag 2.83, 2 Pt 2.89, 2 Ho 3.15
In (0.5000, 0.1341, 0.6607) (multiplicity 4)  2 Ag 2.82, 2 Pt 2.89-2.91, 2 Tb 3.15
Ag (0.0000, 0.0000, 0.7950) (multiplicity 2)  6 In 2.82-2.83
Pt (0.5000, 0.1659, 0.2957) (multiplicity 4)  3 In 2.89-2.91, 2 Ho 3.02, 4 Tb 3.03

=====

12.
Material: Y3Er3Te2Pt
Method: DFT, PBE
State: relaxed

Values from the calculation:
Offset from the most stable computed form in meV per atom: 48
Total DFT energy (no corrections) in eV/atom: -5.93

a b c (Å): 8.3930 8.3930 3.9400
angles (deg): 90.00 90.00 120.00
Last column: nearest neighbours and their distance in Å.
Space group P-62m (No. 189)
Unique sites:
Y (0.0000, 0.2482, 0.0000) (multiplicity 3)  2 Pt 2.87
Er (0.0000, 0.6008, 0.5000) (multiplicity 3)  4 Te 3.24, 1 Pt 3.35, 6 Y 3.53-3.55
Te (0.3333, 0.6667, 0.0000) (multiplicity 2)  3 Y 3.21, 6 Er 3.24
Pt (0.0000, 0.0000, 0.5000) (multiplicity 1)  6 Y 2.87

=====

13.
Material: LiHg3PbS4
Method: DFT, PBE
State: relaxed

Values from the calculation:
Total DFT energy (no corrections) in eV/atom: -2.69

a b c (Å): 6.2963 6.2963 6.2963
angles (deg): 90.00 90.00 90.00
Last column: nearest neighbours and their distance in Å.
Space group P-43m (No. 215)
Unique sites:
Li (0.0000, 0.0000, 0.0000) (multiplicity 1)  4 S 2.60
Hg (0.0000, 0.5000, 0.5000) (multiplicity 3)  4 S 2.77
Pb (0.5000, 0.5000, 0.5000) (multiplicity 1)  4 S 2.85, 6 Hg 3.15
S (0.2383, 0.2383, 0.2383) (multiplicity 4)  1 Li 2.60, 3 Hg 2.77, 1 Pb 2.85

=====

14.
Material: TlCoHgMo
Method: DFT, PBE
State: relaxed

Values from the calculation:
Offset from the most stable computed form in meV per atom: 110
Total DFT energy (no corrections) in eV/atom: -4.24

a b c (Å): 6.5925 6.5925 6.5925
angles (deg): 90.00 90.00 90.00
Last column: nearest neighbours and their distance in Å.
Space group F-43m (No. 216)
Unique sites:
Tl (0.0000, 0.0000, 0.0000) (multiplicity 4)  4 Hg 2.85, 4 Co 2.85
Co (0.2500, 0.2500, 0.2500) (multiplicity 4)  4 Tl 2.85, 4 Mo 2.85
Hg (0.2500, 0.2500, 0.7500) (multiplicity 4)  4 Tl 2.85, 4 Mo 2.85
Mo (0.0000, 0.0000, 0.5000) (multiplicity 4)  4 Co 2.85, 4 Hg 2.85

=====

15.
Material: MgInFePd
Method: DFT, PBE
State: relaxed

Values from the calculation:
Offset from the most stable computed form in meV per atom: 0
Total DFT energy (no corrections) in eV/atom: -4.60

a b c (Å): 6.4302 6.4302 6.4302
angles (deg): 90.00 90.00 90.00
Last column: nearest neighbours and their distance in Å.
Space group F-43m (No. 216)
Unique sites:
Mg (0.0000, 0.0000, 0.0000) (multiplicity 4)  4 Fe 2.78, 4 Pd 2.78
In (0.0000, 0.0000, 0.5000) (multiplicity 4)  4 Fe 2.78, 4 Pd 2.78
Fe (0.2500, 0.2500, 0.7500) (multiplicity 4)  4 In 2.78, 4 Mg 2.78
Pd (0.2500, 0.2500, 0.2500) (multiplicity 4)  4 In 2.78, 4 Mg 2.78

=====

16.
Material: ZrRe2Hg
Method: DFT, PBE
State: relaxed

Values from the calculation:
Formation energy from the elements in meV/atom: 472
Total DFT energy (no corrections) in eV/atom: -7.95

a b c (Å): 6.5630 6.5630 6.5630
angles (deg): 90.00 90.00 90.00
Last column: nearest neighbours and their distance in Å.
Space group F-43m (No. 216)
Unique sites:
Zr (0.0000, 0.0000, 0.0000) (multiplicity 4)  4 Re 2.84, 4 Hg 2.84
Re (0.0000, 0.0000, 0.5000) (multiplicity 4)  4 Hg 2.84, 4 Re 2.84
Re (0.2500, 0.2500, 0.2500) (multiplicity 4)  4 Zr 2.84, 4 Re 2.84
Hg (0.2500, 0.2500, 0.7500) (multiplicity 4)  4 Zr 2.84, 4 Re 2.84

=====

17.
Material: CoB
Method: DFT, PBE
State: relaxed

Values from the calculation:
Total DFT energy (no corrections) in eV/atom: -7.02

a b c (Å): 3.5056 2.4785 3.5095
angles (deg): 90.00 90.00 90.00
Last column: nearest neighbours and their distance in Å.
Space group Pmma (No. 51)
Unique sites:
Co (0.2500, 0.0000, 0.2498) (multiplicity 2)  8 B 2.15
B (0.2500, 0.5000, 0.7490) (multiplicity 2)  8 Co 2.15

=====

18.
Material: PaNbGa
Method: DFT, PBE
State: relaxed

Values from the calculation:
Offset from the most stable computed form in meV per atom: 608
Total DFT energy (no corrections) in eV/atom: -6.60

a b c (Å): 6.6015 6.6015 6.6015
angles (deg): 90.00 90.00 90.00
Last column: nearest neighbours and their distance in Å.
Space group F-43m (No. 216)
Unique sites:
Pa (0.0000, 0.0000, 0.0000) (multiplicity 4)  4 Nb 2.86, 4 Ga 2.86
Nb (0.2500, 0.2500, 0.2500) (multiplicity 4)  4 Pa 2.86
Ga (0.2500, 0.2500, 0.7500) (multiplicity 4)  4 Pa 2.86

=====

19.
Material: NaSrNdTe3
Method: DFT, PBE
State: relaxed

Values from the calculation:
Offset from the most stable computed form in meV per atom: 0
Total DFT energy (no corrections) in eV/atom: -4.27

a b c (Å): 19.4899 4.5110 9.7459
angles (deg): 90.00 104.69 90.00
Last column: nearest neighbours and their distance in Å.
Space group C2/m (No. 12)
Unique sites:
Na (0.0086, 0.0000, 0.2053) (multiplicity 4)  3 Te 2.92-2.99
Sr (0.1341, 0.5000, 0.5688) (multiplicity 4)  7 Te 3.39-3.54
Nd (0.1671, 0.5000, 0.0908) (multiplicity 4)  6 Te 3.15-3.21
Te (0.0000, 0.0000, 0.5000) (multiplicity 2)  2 Na 2.92
Te (0.0000, 0.5000, 0.0000) (multiplicity 2)  4 Na 2.99, 2 Nd 3.15
Te (0.1660, 0.0000, 0.8558) (multiplicity 4)  3 Nd 3.16-3.21, 1 Na 3.30, 2 Sr 3.52
Te (0.1816, 0.0000, 0.3277) (multiplicity 4)  2 Nd 3.19, 1 Na 3.28, 3 Sr 3.48-3.54

=====

20.
Material: Nd3InCo3
Method: DFT, PBE
State: relaxed

Values from the calculation:
Total DFT energy (no corrections) in eV/atom: -5.65

a b c (Å): 4.3240 10.3075 13.4465
angles (deg): 90.00 90.00 90.00
Last column: nearest neighbours and their distance in Å.
Space group Cmcm (No. 63)
Unique sites:
Nd (0.0000, 0.0013, 0.2500) (multiplicity 4)  7 Co 2.96-3.13
Nd (0.0000, 0.2928, 0.1038) (multiplicity 8)  6 Co 3.02-3.08, 3 In 3.32-3.34
In (0.0000, 0.0000, 0.0000) (multiplicity 4)  4 Co 2.73
Co (0.0000, 0.3025, 0.7500) (multiplicity 4)  2 Co 2.26
Co (0.0000, 0.4111, 0.6040) (multiplicity 8)  1 Co 2.26